(1)
NaHoPb PBE-GGA relaxed; total moment = 0.0 Bohr magnetons per cell; DOS at the Fermi energy = 0.343 states/eV per atom; E_form = -0.12 eV/atom; space group = No. 166
1.0
2.580 1.490 8.827
-2.580 1.490 8.827
0.000 -2.979 8.827
Na Ho Pb
2 2 2
Cartesian
0.000 0.000 3.467
0.000 0.000 23.014
0.000 0.000 7.667
0.000 0.000 18.813
0.000 0.000 10.915
0.000 0.000 15.565



(2)
NaHoPb PBE-GGA relaxed; total moment = 0.3 Bohr magnetons per cell; DOS at the Fermi energy = 0.621 states/eV per atom; E_form = -0.09 eV/atom; space group = No. 107
1.0
3.476 0.000 0.000
0.000 3.476 0.000
0.000 0.000 15.068
Na Ho Pb
2 2 2
Cartesian
0.000 0.000 0.000
1.738 1.738 7.534
0.000 0.000 4.578
1.738 1.738 12.112
0.000 0.000 9.895
1.738 1.738 2.361



(3)
NaHoPb6 PBE-GGA relaxed; total moment = 0.0 Bohr magnetons per cell; DOS at the Fermi energy = 0.316 states/eV per atom; E_form = -0.19 eV/atom; space group = No. 123
1.0
4.840 0.000 0.000
0.000 4.840 0.000
0.000 0.000 9.998
Na Ho Pb
1 1 6
Cartesian
0.000 0.000 0.000
0.000 0.000 4.999
0.000 2.420 2.503
0.000 2.420 7.495
2.420 0.000 2.503
2.420 0.000 7.495
2.420 2.420 0.000
2.420 2.420 4.999